Entry from Alexandria: crystalline Tb3Dy4Y4 at its relaxed geometry (PBE-GGA).

a b c (Å): 18.1253 18.1253 5.6222
angles (deg): 98.91 98.91 11.08
With the nearest neighbours (Å) after each atom.
Fractional coordinates of all 11 atoms:
Tb 0.0000 0.0000 0.0000  2 Tb 3.50, 4 Y 3.66, 8 Dy 3.69
Tb 0.1365 0.1365 0.6363  2 Tb 3.50, 6 Dy 3.66-3.69, 6 Y 3.70-3.86
Tb 0.8635 0.8635 0.3637  2 Tb 3.50, 6 Dy 3.66-3.69, 6 Y 3.70-3.86
Dy 0.3196 0.3196 0.8199  5 Y 3.21-3.55, 2 Dy 3.50
Dy 0.4545 0.4545 0.4550  2 Y 3.23, 3 Dy 3.24-3.50
Dy 0.5455 0.5455 0.5450  2 Y 3.23, 3 Dy 3.24-3.50
Dy 0.6804 0.6804 0.1801  5 Y 3.21-3.55, 2 Dy 3.50
Y 0.2670 0.2670 0.2672  4 Dy 3.38-3.55, 6 Y 3.50-3.53
Y 0.4097 0.4097 0.9103  3 Dy 3.21-3.23, 2 Y 3.50
Y 0.5903 0.5903 0.0897  3 Dy 3.21-3.23, 2 Y 3.50
Y 0.7330 0.7330 0.7328  4 Dy 3.38-3.55, 6 Y 3.50-3.53

Calculated values
Energy relative to the elements in eV/atom: 0.06
Calculated density in g/cm³: 7.02
Space-group type: C2/m (12)

***

Entry from Alexandria: crystalline Ba3TaAg2O8 at its relaxed geometry (PBE-GGA).

a b c (Å): 5.9387 5.9387 8.0040
angles (deg): 90.00 90.00 120.00
With the nearest neighbours (Å) after each atom.
Fractional coordinates of all 14 atoms:
Ba 0.0000 0.0000 0.0000  12 O 3.25-3.46
Ba 0.3333 0.6667 0.6289  1 O 2.51
Ba 0.6667 0.3333 0.3711  1 O 2.51
Ta 0.0000 0.0000 0.5000  6 O 1.99
Ag 0.3333 0.6667 0.1918  4 O 2.00-2.23
Ag 0.6667 0.3333 0.8082  4 O 2.00-2.23
O 0.1567 0.3134 0.3532  1 Ta 1.99, 1 Ag 2.23
O 0.1567 0.8433 0.3532  1 Ta 1.99, 1 Ag 2.23
O 0.3134 0.1567 0.6468  1 Ta 1.99, 1 Ag 2.23
O 0.3333 0.6667 0.9425  1 Ag 2.00
O 0.6667 0.3333 0.0575  1 Ag 2.00
O 0.6866 0.8433 0.3532  1 Ta 1.99, 1 Ag 2.23
O 0.8433 0.1567 0.6468  1 Ta 1.99, 1 Ag 2.23
O 0.8433 0.6866 0.6468  1 Ta 1.99, 1 Ag 2.23

Calculated values
Raw total energy in eV/cell: -87.7
Calculated density in g/cm³: 6.36
Space-group type: P-3m1 (164)